No. 1
This record from Alexandria via LeMat-Bulk describes a geometry-optimized NdSm6Mg structure. The functional is GGA-PBE.

Results
The energy relative to the lowest polymorph listed for this composition is 1.76 eV/f.u. The calculation puts the total DFT energy (no corrections) at -4.007 eV per atom. As for the energy relative to the elements: 0.328 eV/atom.

Geometry as CIF:
```
data_NdSm6Mg
_chemical_formula_sum 'Nd2 Sm12 Mg2'
_space_group_name_H-M_alt 'C 1 2/m 1'
_space_group_IT_number 12
_space_group_name_Hall '-C 2y'
_cell_length_a 9.090
_cell_length_b 7.267
_cell_length_c 9.150
_cell_angle_alpha 90.00
_cell_angle_beta 106.30
_cell_angle_gamma 90.00
loop_
_atom_site_label
_atom_site_fract_x
_atom_site_fract_y
_atom_site_fract_z
Nd1 0.000 0.000 0.000
Sm1 0.138 0.000 0.426
Sm2 0.191 0.246 0.794
Mg1 0.000 0.500 0.500
```

No. 2
This record from Alexandria via LeMat-Bulk describes a geometry-optimized Cs3Ca2PtO6 structure. The functional is GGA-PBE.

Results
The uncorrected formation energy comes out at -1535.7 meV/atom. The calculation puts the total DFT energy (no corrections) at -5.065 eV per atom.

Geometry as CIF:
```
data_Cs3Ca2PtO6
_chemical_formula_sum 'Cs6 Ca4 Pt2 O12'
_space_group_name_H-M_alt 'C 1 2/m 1'
_space_group_IT_number 12
_space_group_name_Hall '-C 2y'
_cell_length_a 6.100
_cell_length_b 10.549
_cell_length_c 6.968
_cell_angle_alpha 90.00
_cell_angle_beta 106.80
_cell_angle_gamma 90.00
loop_
_atom_site_label
_atom_site_fract_x
_atom_site_fract_y
_atom_site_fract_z
Cs1 0.000 0.000 0.000
Cs2 0.000 0.333 0.000
Ca1 0.000 0.166 0.500
Pt1 0.000 0.500 0.500
O1 0.201 0.355 0.663
O2 0.236 0.500 0.332
```